First-principles (PBEsol) data for crystalline Ca2AlCo at its relaxed geometry, as listed in Alexandria.

The structure in POSCAR format:
```
Ca2AlCo
1.0
3.4351 0.0000 0.0000
0.0000 3.4351 0.0000
0.0000 0.0000 7.3353
Ca Co Al
2 1 1
direct
0.0000 0.0000 0.2790
0.0000 0.0000 0.7210
0.5000 0.5000 0.5000
0.5000 0.5000 0.0000
```

E_form = 0.20 eV/atom
E = -15.3 eV per cell


First-principles (PBEsol) data for crystalline Sb2RuC6O6F12 at its relaxed geometry, as listed in Alexandria.

The structure in POSCAR format:
```
Sb2RuC6O6F12
1.0
-4.6997 2.0553 6.3412
-2.8738 -7.6254 0.3416
9.0703 -3.0726 7.7183
Sb Ru C O F
4 2 12 12 24
direct
0.5000 0.0000 0.7500
0.0000 0.5000 0.7500
0.5000 0.0000 0.2500
0.0000 0.5000 0.2500
0.5000 0.5000 0.5000
0.0000 0.0000 0.0000
0.6292 0.7073 0.5000
0.3708 0.2927 0.5000
0.0000 0.0000 0.1614
0.5000 0.5000 0.3386
0.0000 0.0000 0.8386
0.5000 0.5000 0.6614
0.2073 0.1292 0.0000
0.8708 0.2073 0.0000
0.1292 0.7927 0.0000
0.7073 0.3708 0.5000
0.2927 0.6292 0.5000
0.7927 0.8708 0.0000
0.7017 0.8261 0.5000
0.2983 0.1739 0.5000
0.0000 0.0000 0.2538
0.5000 0.5000 0.2462
0.0000 0.0000 0.7462
0.5000 0.5000 0.7538
0.3261 0.2017 0.0000
0.7983 0.3261 0.0000
0.2017 0.6739 0.0000
0.8261 0.2983 0.5000
0.1739 0.7017 0.5000
0.6739 0.7983 0.0000
0.3352 0.1648 0.7500
0.1648 0.6648 0.2500
0.8352 0.3352 0.7500
0.3909 0.8771 0.3608
0.1648 0.6648 0.7500
0.6648 0.8352 0.7500
0.6229 0.1091 0.1392
0.8909 0.6229 0.1392
0.1091 0.3771 0.1392
0.1229 0.3909 0.3608
0.8771 0.6091 0.3608
0.3771 0.8909 0.1392
0.6091 0.1229 0.3608
0.8352 0.3352 0.2500
0.3771 0.8909 0.8608
0.1091 0.3771 0.8608
0.8909 0.6229 0.8608
0.8771 0.6091 0.6392
0.1229 0.3909 0.6392
0.6229 0.1091 0.8608
0.3909 0.8771 0.6392
0.6091 0.1229 0.6392
0.3352 0.1648 0.2500
0.6648 0.8352 0.2500
```

uncorrected formation energy = -1.517 eV/atom
E = -345.5 eV per cell


First-principles (PBEsol) data for crystalline K2Na2NdF7 at its relaxed geometry, as listed in Alexandria.

The structure in POSCAR format:
```
K2Na2NdF7
1.0
-1.9668 -4.3622 -9.8700
3.5695 -7.8232 6.8096
-9.2430 4.3685 3.9744
K Na Nd F
12 12 6 42
direct
0.3884 0.6942 0.6942
0.6116 0.3058 0.3058
0.0000 0.6942 0.3058
0.0000 0.3058 0.6942
0.6942 0.0000 0.3058
0.3058 0.6116 0.3058
0.3058 0.0000 0.6942
0.6942 0.3884 0.6942
0.6942 0.3058 0.0000
0.3058 0.6942 0.0000
0.3058 0.3058 0.6116
0.6942 0.6942 0.3884
0.7601 0.0000 0.0000
0.2399 0.0000 0.0000
0.0000 0.7601 0.0000
0.0000 0.0000 0.7601
0.0000 0.2399 0.0000
0.0000 0.0000 0.2399
0.2399 0.2399 0.2399
0.7601 0.7601 0.7601
0.5000 0.0000 0.0000
0.0000 0.5000 0.0000
0.0000 0.0000 0.5000
0.5000 0.5000 0.5000
0.0000 0.3657 0.3657
0.0000 0.6343 0.6343
0.6343 0.0000 0.6343
0.3657 0.0000 0.3657
0.6343 0.6343 0.0000
0.3657 0.3657 0.0000
0.5706 0.8242 0.0000
0.4294 0.1758 0.0000
0.8242 0.5706 0.0000
0.1758 0.1758 0.7465
0.7465 0.1758 0.1758
0.1758 0.4294 0.0000
0.8242 0.8242 0.2535
0.2535 0.8242 0.8242
0.4294 0.4294 0.2535
0.2535 0.4294 0.4294
0.5706 0.5706 0.7465
0.7465 0.5706 0.5706
0.0000 0.5706 0.8242
0.0000 0.4294 0.1758
0.0000 0.8242 0.5706
0.0000 0.1758 0.4294
0.5706 0.0000 0.8242
0.8242 0.2535 0.8242
0.4294 0.0000 0.1758
0.1758 0.7465 0.1758
0.4294 0.2535 0.4294
0.5706 0.7465 0.5706
0.1758 0.0000 0.4294
0.8242 0.0000 0.5706
0.5000 0.6379 0.1379
0.5000 0.3621 0.8621
0.8621 0.5000 0.3621
0.3621 0.5000 0.8621
0.1379 0.5000 0.6379
0.6379 0.5000 0.1379
0.3621 0.8621 0.5000
0.5000 0.1379 0.6379
0.6379 0.1379 0.5000
0.5000 0.8621 0.3621
0.8621 0.3621 0.5000
0.1379 0.6379 0.5000
0.0000 0.1760 0.1760
0.0000 0.8240 0.8240
0.8240 0.0000 0.8240
0.1760 0.0000 0.1760
0.8240 0.8240 0.0000
0.1760 0.1760 0.0000
```

uncorrected formation energy = -3.213 eV/atom
E = -373.7 eV per cell


First-principles (PBEsol) data for crystalline Nb3RhSe6 at its relaxed geometry, as listed in Alexandria.

The structure in POSCAR format:
```
Nb3RhSe6
1.0
5.9715 0.0000 0.0000
-2.9858 5.1715 0.0000
0.0000 0.0000 12.4055
Nb Rh Se
6 2 12
direct
0.0000 0.0000 0.0000
0.0000 0.0000 0.5000
0.3333 0.6667 0.4991
0.6667 0.3333 0.5009
0.6667 0.3333 0.9991
0.3333 0.6667 0.0009
0.3333 0.6667 0.2500
0.6667 0.3333 0.7500
0.6760 0.6658 0.1348
0.9898 0.3240 0.1348
0.3342 0.0102 0.1348
0.6658 0.6760 0.8652
0.3240 0.9898 0.8652
0.0102 0.3342 0.8652
0.3240 0.3342 0.6348
0.0102 0.6760 0.6348
0.6658 0.9898 0.6348
0.3342 0.3240 0.3652
0.6760 0.0102 0.3652
0.9898 0.6658 0.3652
```

uncorrected formation energy = -0.836 eV/atom
E = -144.1 eV per cell


First-principles (PBEsol) data for crystalline NaSrH2Pd at its relaxed geometry, as listed in Alexandria.

The structure in POSCAR format:
```
NaSrH2Pd
1.0
4.1681 0.0000 0.0000
0.0000 4.1681 0.0000
0.0000 0.0000 4.8205
Sr H Pd Na
1 2 1 1
direct
0.5000 0.5000 0.5000
0.0000 0.5000 0.0000
0.5000 0.0000 0.0000
0.0000 0.0000 0.0000
0.0000 0.0000 0.5000
```

E = -14.6 eV per cell


First-principles (PBEsol) data for crystalline Li2MnAsH at its relaxed geometry, as listed in Alexandria.

The structure in POSCAR format:
```
Li2MnAsH
1.0
-2.6160 1.0059 -2.4785
1.8474 -1.8276 -2.6916
-2.0353 -3.2678 0.8219
H As Mn Li
1 1 1 2
direct
0.0000 0.0000 0.0000
0.5000 0.5000 0.5000
0.0000 0.0000 0.5000
0.0000 0.5000 0.0000
0.5000 0.0000 0.0000
```

E = -23.6 eV per cell


First-principles (PBEsol) data for crystalline TeAsSe2N at its relaxed geometry, as listed in Alexandria.

The structure in POSCAR format:
```
TeAsSe2N
1.0
4.4500 0.0000 0.0000
0.0000 4.4689 0.0000
0.0000 0.0000 4.4689
As Te Se N
1 1 2 1
direct
0.5000 0.0000 0.0000
0.5000 0.5000 0.5000
0.0000 0.0000 0.5000
0.0000 0.5000 0.0000
0.0000 0.0000 0.0000
```

uncorrected formation energy = 0.710 eV/atom
E = -21.3 eV per cell


First-principles (PBEsol) data for crystalline FeNiSe4 at its relaxed geometry, as listed in Alexandria.

The structure in POSCAR format:
```
FeNiSe4
1.0
5.7640 -0.0089 0.0000
-0.0335 5.7554 0.0000
0.0000 0.0000 5.7817
Fe Ni Se
2 2 8
direct
0.0000 0.5000 0.5000
0.5000 0.5000 0.0000
0.5000 0.0000 0.5000
0.0000 0.0000 0.0000
0.6200 0.8673 0.8765
0.8800 0.1327 0.3765
0.1318 0.6188 0.1305
0.3682 0.3812 0.6305
0.3800 0.1327 0.1235
0.1200 0.8673 0.6235
0.8682 0.3812 0.8695
0.6318 0.6188 0.3695
```

uncorrected formation energy = -0.356 eV/atom
E = -65.3 eV per cell


First-principles (PBEsol) data for crystalline ZnFe3C at its relaxed geometry, as listed in Alexandria.

The structure in POSCAR format:
```
ZnFe3C
1.0
-0.8718 2.7692 3.1634
3.0794 -1.7789 2.4059
2.8623 2.7573 -1.6248
C Zn Fe
1 1 3
direct
0.5000 0.5000 0.5000
0.0000 0.0000 0.0000
0.0000 0.5000 0.0000
0.0000 0.0000 0.5000
0.5000 0.0000 0.0000
```

E_form = 2.45 eV/atom
energy above the lowest structure with this stoichiometry = 2.493 eV/atom
E = -25.8 eV per cell


First-principles (PBEsol) data for crystalline BaCuNiGe2 at its relaxed geometry, as listed in Alexandria.

The structure in POSCAR format:
```
BaCuNiGe2
1.0
4.5802 0.0000 0.0000
0.0000 4.5802 0.0000
0.0000 0.0000 4.7977
Ni Ge Ba Cu
1 2 1 1
direct
0.0000 0.0000 0.0000
0.0000 0.5000 0.0000
0.5000 0.0000 0.0000
0.5000 0.5000 0.5000
0.0000 0.0000 0.5000
```

E_form = -0.10 eV/atom
E = -23.0 eV per cell


| no. | ρ (g/cm3) |
| --- | --- |
| 1 | 3.19 |
| 2 | 3.01 |
| 3 | 3.94 |
| 4 | 7.42 |
| 5 | 4.34 |
| 6 | 4.36 |
| 7 | 7.00 |
| 8 | 7.45 |
| 9 | 5.14 |
| 10 | 6.68 |